1.
# Li3Pm4Ge4 GGA-PBE optimized geometry
data_Li3Pm4Ge4
_chemical_formula_sum 'Li6 Pm8 Ge8'
_cell_length_a 4.4324
_cell_length_b 7.6811
_cell_length_c 17.3416
_cell_angle_alpha 90.00
_cell_angle_beta 90.00
_cell_angle_gamma 90.00
_symmetry_space_group_name_H-M 'I m m m'
_symmetry_Int_Tables_number 71
_symmetry_space_group_name_Hall '-I 2 2'
loop_
_atom_site_label
_atom_site_type_symbol
_atom_site_fract_x
_atom_site_fract_y
_atom_site_fract_z
Li1 Li 0.0000 0.0000 0.0000
Li2 Li 0.0000 0.5000 0.0709
Pm1 Pm 0.0000 0.2569 0.3347
Ge1 Ge 0.0000 0.0000 0.1907
Ge2 Ge 0.0000 0.1678 0.5000
# ΔH_f (0 K)   -0.338 eV/atom


2.
# RbBiAs2Se GGA-PBE optimized geometry
data_RbBiAs2Se
_chemical_formula_sum 'Rb1 Bi1 As2 Se1'
_cell_length_a 5.5567
_cell_length_b 5.5567
_cell_length_c 5.7804
_cell_angle_alpha 90.00
_cell_angle_beta 90.00
_cell_angle_gamma 90.00
_symmetry_space_group_name_H-M 'P 4/m m m'
_symmetry_Int_Tables_number 123
_symmetry_space_group_name_Hall '-P 4 2'
loop_
_atom_site_label
_atom_site_type_symbol
_atom_site_fract_x
_atom_site_fract_y
_atom_site_fract_z
Rb1 Rb 0.0000 0.0000 0.0000
Bi1 Bi 0.5000 0.5000 0.5000
As1 As 0.0000 0.5000 0.5000
Se1 Se 0.5000 0.5000 0.0000
# Energy relative to the lowest polymorph listed for this composition   0 meV/atom


3.
# CeSmTm2 GGA-PBE optimized geometry
data_CeSmTm2
_chemical_formula_sum 'Ce4 Sm4 Tm8'
_cell_length_a 12.9028
_cell_length_b 3.4626
_cell_length_c 10.9652
_cell_angle_alpha 90.00
_cell_angle_beta 90.28
_cell_angle_gamma 90.00
_symmetry_space_group_name_H-M 'C 1 2/m 1'
_symmetry_Int_Tables_number 12
loop_
_symmetry_equiv_pos_as_xyz
'x,y,z'
'-x,-y,-z'
'-x,y,-z'
'x,-y,z'
'x+1/2,y+1/2,z'
'-x+1/2,-y+1/2,-z'
'-x+1/2,y+1/2,-z'
'x+1/2,-y+1/2,z'
loop_
_atom_site_label
_atom_site_type_symbol
_atom_site_fract_x
_atom_site_fract_y
_atom_site_fract_z
Ce1 Ce 0.1093 0.0000 0.0084
Sm1 Sm 0.1323 0.0000 0.4828
Tm1 Tm 0.0200 0.5000 0.7474
Tm2 Tm 0.2453 0.5000 0.2396
# Energy relative to the lowest polymorph listed for this composition   14 meV/atom
# ΔH_f (0 K)   0.063 eV/atom


4.
# CaZrNi2 GGA-PBE optimized geometry
data_CaZrNi2
_chemical_formula_sum 'Ca2 Zr2 Ni4'
_cell_length_a 3.8694
_cell_length_b 3.8694
_cell_length_c 9.4880
_cell_angle_alpha 90.00
_cell_angle_beta 90.00
_cell_angle_gamma 90.00
_symmetry_space_group_name_H-M 'I -4 m 2'
_symmetry_Int_Tables_number 119
_symmetry_space_group_name_Hall 'I -4 -2'
loop_
_atom_site_label
_atom_site_type_symbol
_atom_site_fract_x
_atom_site_fract_y
_atom_site_fract_z
Ca1 Ca 0.0000 0.0000 0.0000
Zr1 Zr 0.0000 0.5000 0.2500
Ni1 Ni 0.0000 0.0000 0.5000
Ni2 Ni 0.0000 0.5000 0.7500
# ΔH_f (0 K)   0.106 eV/atom


5.
# KGa4Au12 GGA-PBE optimized geometry
data_KGa4Au12
_chemical_formula_sum 'K2 Ga8 Au24'
_cell_length_a 9.0476
_cell_length_b 9.0476
_cell_length_c 9.0476
_cell_angle_alpha 90.00
_cell_angle_beta 90.00
_cell_angle_gamma 90.00
_symmetry_space_group_name_H-M 'I m -3'
_symmetry_Int_Tables_number 204
_symmetry_space_group_name_Hall '-I 2 2 3'
loop_
_atom_site_label
_atom_site_type_symbol
_atom_site_fract_x
_atom_site_fract_y
_atom_site_fract_z
K1 K 0.0000 0.0000 0.0000
Ga1 Ga 0.2500 0.2500 0.2500
Au1 Au 0.0000 0.1566 0.3470
# ΔH_f (0 K)   0.018 eV/atom


6.
# CsPuMn2Br8 GGA-PBE optimized geometry
data_CsPuMn2Br8
_chemical_formula_sum 'Cs3 Pu3 Mn6 Br24'
_cell_length_a 6.9912
_cell_length_b 6.9912
_cell_length_c 32.2434
_cell_angle_alpha 90.00
_cell_angle_beta 90.00
_cell_angle_gamma 120.00
_symmetry_space_group_name_H-M 'R -3'
_symmetry_Int_Tables_number 148
_symmetry_space_group_name_Hall '-R 3'
loop_
_atom_site_label
_atom_site_type_symbol
_atom_site_fract_x
_atom_site_fract_y
_atom_site_fract_z
Cs1 Cs 0.0000 0.0000 0.0000
Pu1 Pu 0.0000 0.0000 0.5000
Mn1 Mn 0.0000 0.0000 0.2462
Br1 Br 0.0000 0.0000 0.3212
Br2 Br 0.0024 0.6580 0.7795
# Uncorrected energy   -61.05 eV/f.u.


Number 1: DOS at the Fermi energy 9.4 states/eV/f.u., magnetization 0.00 μB/f.u.. Number 2: DOS at the Fermi energy 4.3 states/eV/f.u., magnetization 2.14 μB/f.u.. Number 3: DOS at the Fermi energy 7.8 states/eV/f.u., magnetization 0.10 μB/f.u.. Number 4: DOS at the Fermi energy 4.0 states/eV/f.u., magnetization 0.00 μB/f.u.. Number 5: DOS at the Fermi energy 10.2 states/eV/f.u., magnetization 0.00 μB/f.u.. Number 6: DOS at the Fermi energy 9.6 states/eV/f.u., magnetization 5.00 μB/f.u..